Entry 1:
Entry from Alexandria via LeMat-Bulk: an optimized crystal structure of CdIn2Pb (PBE-GGA).

Cell lengths 3.312, 3.312, 10.913 Å; angles 90.00, 90.00, 112.42 degrees
Fractional coordinates of all 4 atoms:
Cd 0.500 0.500 0.750
In 0.000 0.000 0.514
In 0.000 0.000 0.986
Pb 0.500 0.500 0.250

* final energy: -2.480 eV/atom

***

Entry 2:
Entry from Alexandria via LeMat-Bulk: an optimized crystal structure of CdIn4Pb5 (PBE-GGA).

Cell lengths 3.964, 3.964, 18.540 Å; angles 90.00, 90.00, 90.00 degrees
Fractional coordinates of all 10 atoms:
Cd 0.000 0.000 0.000
In 0.000 0.000 0.398
Pb 0.500 0.500 0.500
In 0.000 0.000 0.602
Pb 0.500 0.500 0.298
Pb 0.500 0.500 0.702
In 0.000 0.000 0.804
In 0.000 0.000 0.196
Pb 0.500 0.500 0.096
Pb 0.500 0.500 0.904

* distance to the lowest polymorph of the same formula: 0.012 eV per atom
* final energy: -2.995 eV/atom

***

Entry 3:
Entry from Alexandria via LeMat-Bulk: an optimized crystal structure of CdIn2Pb (PBE-GGA).

Cell lengths 10.415, 10.415, 10.415 Å; angles 19.57, 19.57, 19.57 degrees
Fractional coordinates of all 4 atoms:
In 0.253 0.253 0.253
Cd 0.746 0.746 0.746
In 0.003 0.003 0.003
Pb 0.497 0.497 0.497

* final energy: -2.490 eV/atom

***

Entry 4:
Entry from Alexandria via LeMat-Bulk: an optimized crystal structure of Cd2In5Pb5 (PBE-GGA).

Cell lengths 5.071, 7.159, 10.621 Å; angles 74.20, 76.19, 69.26 degrees
Fractional coordinates of all 12 atoms:
In 0.165 0.166 0.505
Pb 0.330 0.335 0.004
Pb 0.500 0.500 0.500
In 0.835 0.834 0.495
In 0.253 0.746 0.748
In 0.747 0.254 0.252
In 0.000 0.000 0.000
Cd 0.917 0.422 0.744
Pb 0.670 0.665 0.996
Pb 0.585 0.084 0.746
Pb 0.415 0.916 0.254
Cd 0.083 0.578 0.256

* final energy: -2.805 eV/atom

***

Entry 5:
Entry from Alexandria via LeMat-Bulk: an optimized crystal structure of CdInPb (PBE-GGA).

Cell lengths 5.470, 5.470, 3.219 Å; angles 90.00, 90.00, 120.00 degrees
Fractional coordinates of all 3 atoms:
Cd 0.000 0.000 0.162
Pb 0.667 0.333 0.668
In 0.333 0.667 0.170

* distance to the lowest polymorph of the same formula: 0.000 eV per atom
* final energy: -2.417 eV/atom

***

Entry 6:
Entry from Alexandria via LeMat-Bulk: an optimized crystal structure of Cd2InPb9 (PBE-GGA).

Cell lengths 4.949, 4.949, 14.752 Å; angles 90.00, 90.00, 90.00 degrees
Fractional coordinates of all 12 atoms:
Pb 0.500 0.500 0.335
In 0.000 0.000 0.000
Pb 0.500 0.000 0.831
Pb 0.500 0.000 0.169
Pb 0.500 0.500 0.665
Cd 0.000 0.000 0.334
Cd 0.000 0.000 0.666
Pb 0.500 0.000 0.500
Pb 0.500 0.500 0.000
Pb 0.000 0.500 0.500
Pb 0.000 0.500 0.831
Pb 0.000 0.500 0.169

* final energy: -3.140 eV/atom

***

Entry 7:
Entry from Alexandria via LeMat-Bulk: an optimized crystal structure of CdInPb2 (PBE-GGA).

Cell lengths 3.630, 3.630, 8.676 Å; angles 90.00, 90.00, 90.00 degrees
Fractional coordinates of all 4 atoms:
Pb 0.000 0.000 0.490
In 0.500 0.500 0.750
Pb 0.000 0.000 0.010
Cd 0.500 0.500 0.250

* distance to the lowest polymorph of the same formula: 0.004 eV per atom
* final energy: -2.735 eV/atom

***

Entry 8:
Entry from Alexandria via LeMat-Bulk: an optimized crystal structure of Cd4In2Pb3 (PBE-GGA).

Cell lengths 5.687, 5.473, 9.783 Å; angles 106.70, 86.86, 120.82 degrees
Fractional coordinates of all 9 atoms:
Pb 0.312 0.638 0.603
In 0.667 0.363 0.741
Cd 0.325 0.650 0.939
In 0.333 0.637 0.259
Pb 0.688 0.362 0.397
Pb 0.000 0.000 0.000
Cd 0.006 0.989 0.330
Cd 0.675 0.350 0.061
Cd 0.994 0.011 0.670

* final energy: -2.195 eV/atom

***

Entry 9:
Entry from Alexandria via LeMat-Bulk: an optimized crystal structure of CdIn2Pb (PBE-GGA).

Cell lengths 5.282, 3.323, 6.546 Å; angles 74.93, 90.00, 90.00 degrees
Fractional coordinates of all 4 atoms:
Cd 0.500 0.927 0.734
In 0.500 0.211 0.222
Pb 0.000 0.536 0.531
In 0.000 0.826 0.013

* final energy: -2.482 eV/atom

***

Entry 10:
Entry from Alexandria via LeMat-Bulk: an optimized crystal structure of Cd6In5Pb (PBE-GGA).

Cell lengths 4.700, 8.682, 8.682 Å; angles 104.31, 105.90, 105.90 degrees
Fractional coordinates of all 12 atoms:
Cd 0.252 0.084 0.420
Pb 0.000 0.000 0.000
In 0.500 0.500 0.500
In 0.500 0.828 0.172
Cd 0.248 0.746 0.746
In 0.000 0.335 0.665
In 0.000 0.665 0.335
Cd 0.252 0.420 0.084
Cd 0.748 0.580 0.916
Cd 0.748 0.916 0.580
In 0.500 0.172 0.828
Cd 0.752 0.254 0.254

* final energy: -1.869 eV/atom

***

Entry 11:
Entry from Alexandria via LeMat-Bulk: an optimized crystal structure of CdInPb2 (PBE-GGA).

Cell lengths 5.328, 3.448, 6.394 Å; angles 80.59, 90.00, 90.00 degrees
Fractional coordinates of all 4 atoms:
In 0.500 0.750 0.750
Pb 0.000 0.046 0.008
Cd 0.500 0.250 0.250
Pb 0.000 0.454 0.492

* distance to the lowest polymorph of the same formula: 0.027 eV per atom
* final energy: -2.712 eV/atom

***

Entry 12:
Entry from Alexandria via LeMat-Bulk: an optimized crystal structure of CdInPb (PBE-GGA).

Cell lengths 5.078, 5.078, 5.078 Å; angles 60.00, 60.00, 60.00 degrees
Fractional coordinates of all 3 atoms:
Pb 0.000 0.000 0.000
Cd 0.500 0.500 0.500
In 0.750 0.750 0.750

* distance to the lowest polymorph of the same formula: 0.092 eV per atom
* final energy: -2.325 eV/atom